# ZnNiPt2

Crystalline ZnNiPt2 at its relaxed geometry (PBE-GGA, OQMD).

```
data_ZnNiPt2
_cell_length_a 6.1259
_cell_length_b 6.1259
_cell_length_c 6.1259
_cell_angle_alpha 90.00
_cell_angle_beta 90.00
_cell_angle_gamma 90.00
_symmetry_space_group_name_H-M 'F -4 3 m'
_symmetry_Int_Tables_number 216
_symmetry_space_group_name_Hall 'F -4 2 3'
loop_
_atom_site_label
_atom_site_type_symbol
_atom_site_fract_x
_atom_site_fract_y
_atom_site_fract_z
Zn1 Zn 0.0000 0.0000 0.0000
Ni1 Ni 0.2500 0.2500 0.2500
Pt1 Pt 0.0000 0.0000 0.5000
Pt2 Pt 0.2500 0.2500 0.7500
```

Summary:
Energy relative to the elements   -0.157 eV/atom

=====

# Zn2NiPt

Crystalline Zn2NiPt at its relaxed geometry (PBE-GGA, OQMD).

```
data_Zn2NiPt
_cell_length_a 6.0068
_cell_length_b 6.0068
_cell_length_c 6.0068
_cell_angle_alpha 90.00
_cell_angle_beta 90.00
_cell_angle_gamma 90.00
_symmetry_space_group_name_H-M 'F -4 3 m'
_symmetry_Int_Tables_number 216
_symmetry_space_group_name_Hall 'F -4 2 3'
loop_
_atom_site_label
_atom_site_type_symbol
_atom_site_fract_x
_atom_site_fract_y
_atom_site_fract_z
Zn1 Zn 0.0000 0.0000 0.0000
Zn2 Zn 0.2500 0.2500 0.2500
Ni1 Ni 0.0000 0.0000 0.5000
Pt1 Pt 0.2500 0.2500 0.7500
```

Summary:
Energy relative to the elements   -0.281 eV/atom

=====

# Zr3Zn3NiPt2

Crystalline Zr3Zn3NiPt2 at its relaxed geometry (PBE-GGA, OQMD).

```
data_Zr3Zn3NiPt2
_cell_length_a 7.0983
_cell_length_b 7.0983
_cell_length_c 3.5287
_cell_angle_alpha 90.00
_cell_angle_beta 90.00
_cell_angle_gamma 120.00
_symmetry_space_group_name_H-M 'P -6 2 m'
_symmetry_Int_Tables_number 189
_symmetry_space_group_name_Hall 'P -6 -2'
loop_
_atom_site_label
_atom_site_type_symbol
_atom_site_fract_x
_atom_site_fract_y
_atom_site_fract_z
Zr1 Zr 0.0000 0.6024 0.0000
Zn1 Zn 0.0000 0.2485 0.5000
Ni1 Ni 0.0000 0.0000 0.0000
Pt1 Pt 0.3333 0.6667 0.5000
```

Summary:
Energy relative to the elements   -0.689 eV/atom

=====

# Zr3Zn3Ni2Pt

Crystalline Zr3Zn3Ni2Pt at its relaxed geometry (PBE-GGA, OQMD).

```
data_Zr3Zn3Ni2Pt
_cell_length_a 6.9686
_cell_length_b 6.9686
_cell_length_c 3.4961
_cell_angle_alpha 90.00
_cell_angle_beta 90.00
_cell_angle_gamma 120.00
_symmetry_space_group_name_H-M 'P -6 2 m'
_symmetry_Int_Tables_number 189
_symmetry_space_group_name_Hall 'P -6 -2'
loop_
_atom_site_label
_atom_site_type_symbol
_atom_site_fract_x
_atom_site_fract_y
_atom_site_fract_z
Zr1 Zr 0.0000 0.5945 0.0000
Zn1 Zn 0.0000 0.2734 0.5000
Ni1 Ni 0.3333 0.6667 0.5000
Pt1 Pt 0.0000 0.0000 0.0000
```

Summary:
Energy relative to the elements   -0.537 eV/atom

=====

# ZrZnNiPt

Crystalline ZrZnNiPt at its relaxed geometry (PBE-GGA, OQMD).

```
data_ZrZnNiPt
_cell_length_a 6.3112
_cell_length_b 6.3112
_cell_length_c 6.3112
_cell_angle_alpha 90.00
_cell_angle_beta 90.00
_cell_angle_gamma 90.00
_symmetry_space_group_name_H-M 'F -4 3 m'
_symmetry_Int_Tables_number 216
_symmetry_space_group_name_Hall 'F -4 2 3'
loop_
_atom_site_label
_atom_site_type_symbol
_atom_site_fract_x
_atom_site_fract_y
_atom_site_fract_z
Zr1 Zr 0.0000 0.0000 0.0000
Zn1 Zn 0.0000 0.0000 0.5000
Ni1 Ni 0.2500 0.2500 0.7500
Pt1 Pt 0.2500 0.2500 0.2500
```

Summary:
Energy relative to the elements   -0.625 eV/atom

=====

# Zr2Ni2Pt

Crystalline Zr2Ni2Pt at its relaxed geometry (PBE-GGA, OQMD).

```
data_Zr2Ni2Pt
_cell_length_a 6.9351
_cell_length_b 6.9351
_cell_length_c 3.3397
_cell_angle_alpha 90.00
_cell_angle_beta 90.00
_cell_angle_gamma 90.00
_symmetry_space_group_name_H-M 'P 4/m b m'
_symmetry_Int_Tables_number 127
_symmetry_space_group_name_Hall '-P 4 2ab'
loop_
_atom_site_label
_atom_site_type_symbol
_atom_site_fract_x
_atom_site_fract_y
_atom_site_fract_z
Zr1 Zr 0.1758 0.3242 0.0000
Ni1 Ni 0.1248 0.6248 0.5000
Pt1 Pt 0.0000 0.0000 0.5000
```

Summary:
Energy relative to the elements   -0.698 eV/atom

=====

# ZrNiPt2

Crystalline ZrNiPt2 at its relaxed geometry (PBE-GGA, OQMD).

```
data_ZrNiPt2
_cell_length_a 6.3510
_cell_length_b 6.3510
_cell_length_c 6.3510
_cell_angle_alpha 90.00
_cell_angle_beta 90.00
_cell_angle_gamma 90.00
_symmetry_space_group_name_H-M 'F -4 3 m'
_symmetry_Int_Tables_number 216
_symmetry_space_group_name_Hall 'F -4 2 3'
loop_
_atom_site_label
_atom_site_type_symbol
_atom_site_fract_x
_atom_site_fract_y
_atom_site_fract_z
Zr1 Zr 0.0000 0.0000 0.0000
Ni1 Ni 0.2500 0.2500 0.2500
Pt1 Pt 0.0000 0.0000 0.5000
Pt2 Pt 0.2500 0.2500 0.7500
```

Summary:
Energy relative to the elements   -0.604 eV/atom

=====

# PuNi3

Crystalline PuNi3 at its relaxed geometry (PBE-GGA, OQMD).

```
data_PuNi3
_cell_length_a 4.9315
_cell_length_b 4.9315
_cell_length_c 24.1356
_cell_angle_alpha 90.00
_cell_angle_beta 90.00
_cell_angle_gamma 120.00
_symmetry_space_group_name_H-M 'R -3 m'
_symmetry_Int_Tables_number 166
_symmetry_space_group_name_Hall '-R 3 2"'
loop_
_atom_site_label
_atom_site_type_symbol
_atom_site_fract_x
_atom_site_fract_y
_atom_site_fract_z
Pu1 Pu 0.0000 0.0000 0.0000
Pu2 Pu 0.0000 0.0000 0.1415
Ni1 Ni 0.0000 0.0000 0.3332
Ni2 Ni 0.0000 0.0000 0.5000
Ni3 Ni 0.0011 0.5005 0.9175
```

Summary:
Energy relative to the elements   -0.288 eV/atom

=====

# PuNi3

Crystalline PuNi3 at its relaxed geometry (PBE-GGA, OQMD).

```
data_PuNi3
_cell_length_a 3.8153
_cell_length_b 3.8153
_cell_length_c 3.8153
_cell_angle_alpha 90.00
_cell_angle_beta 90.00
_cell_angle_gamma 90.00
_symmetry_space_group_name_H-M 'P m -3 m'
_symmetry_Int_Tables_number 221
_symmetry_space_group_name_Hall '-P 4 2 3'
loop_
_atom_site_label
_atom_site_type_symbol
_atom_site_fract_x
_atom_site_fract_y
_atom_site_fract_z
Pu1 Pu 0.0000 0.0000 0.0000
Ni1 Ni 0.0000 0.5000 0.5000
```

Summary:
Energy relative to the elements   -0.116 eV/atom

=====

# PuNi3

Crystalline PuNi3 at its relaxed geometry (PBE-GGA, OQMD).

```
data_PuNi3
_cell_length_a 5.3598
_cell_length_b 5.3598
_cell_length_c 4.3887
_cell_angle_alpha 90.00
_cell_angle_beta 90.00
_cell_angle_gamma 120.00
_symmetry_space_group_name_H-M 'P 63/m m c'
_symmetry_Int_Tables_number 194
_symmetry_space_group_name_Hall '-P 6c 2c'
loop_
_atom_site_label
_atom_site_type_symbol
_atom_site_fract_x
_atom_site_fract_y
_atom_site_fract_z
Pu1 Pu 0.3333 0.6667 0.2500
Ni1 Ni 0.1561 0.3123 0.7500
```

Summary:
Energy relative to the elements   -0.133 eV/atom

=====

# PuReNi

Crystalline PuReNi at its relaxed geometry (PBE-GGA, OQMD).

```
data_PuReNi
_cell_length_a 5.9337
_cell_length_b 5.9337
_cell_length_c 5.9337
_cell_angle_alpha 90.00
_cell_angle_beta 90.00
_cell_angle_gamma 90.00
_symmetry_space_group_name_H-M 'F -4 3 m'
_symmetry_Int_Tables_number 216
_symmetry_space_group_name_Hall 'F -4 2 3'
loop_
_atom_site_label
_atom_site_type_symbol
_atom_site_fract_x
_atom_site_fract_y
_atom_site_fract_z
Pu1 Pu 0.0000 0.0000 0.0000
Re1 Re 0.0000 0.0000 0.5000
Ni1 Ni 0.2500 0.2500 0.7500
```

Summary:
ΔE to the lowest computed polymorph   0.0 meV/atom
Energy relative to the elements   0.869 eV/atom

=====

# PuReNi

Crystalline PuReNi at its relaxed geometry (PBE-GGA, OQMD).

```
data_PuReNi
_cell_length_a 6.0252
_cell_length_b 6.0252
_cell_length_c 6.0252
_cell_angle_alpha 90.00
_cell_angle_beta 90.00
_cell_angle_gamma 90.00
_symmetry_space_group_name_H-M 'F -4 3 m'
_symmetry_Int_Tables_number 216
_symmetry_space_group_name_Hall 'F -4 2 3'
loop_
_atom_site_label
_atom_site_type_symbol
_atom_site_fract_x
_atom_site_fract_y
_atom_site_fract_z
Pu1 Pu 0.0000 0.0000 0.0000
Re1 Re 0.2500 0.2500 0.2500
Ni1 Ni 0.2500 0.2500 0.7500
```

Summary:
ΔE to the lowest computed polymorph   267.8 meV/atom
Energy relative to the elements   1.136 eV/atom

=====

# PuNiSb2

Crystalline PuNiSb2 at its relaxed geometry (PBE-GGA, OQMD).

```
data_PuNiSb2
_cell_length_a 7.5580
_cell_length_b 4.4688
_cell_length_c 10.8209
_cell_angle_alpha 90.00
_cell_angle_beta 90.00
_cell_angle_gamma 90.00
_symmetry_space_group_name_H-M 'P n m a'
_symmetry_Int_Tables_number 62
loop_
_symmetry_equiv_pos_as_xyz
'x,y,z'
'-x,-y,-z'
'-x+1/2,-y,z+1/2'
'x+1/2,y,-z+1/2'
'x+1/2,-y+1/2,-z+1/2'
'-x+1/2,y+1/2,z+1/2'
'-x,y+1/2,-z'
'x,-y+1/2,z'
loop_
_atom_site_label
_atom_site_type_symbol
_atom_site_fract_x
_atom_site_fract_y
_atom_site_fract_z
Pu1 Pu 0.2388 0.2500 0.1752
Ni1 Ni 0.1208 0.2500 0.8700
Sb1 Sb 0.0404 0.7500 0.3386
Sb2 Sb 0.1502 0.7500 0.9756
```

=====

# PuSc2Ni9

Crystalline PuSc2Ni9 at its relaxed geometry (PBE-GGA, OQMD).

```
data_PuSc2Ni9
_cell_length_a 4.8687
_cell_length_b 4.8687
_cell_length_c 23.7063
_cell_angle_alpha 90.00
_cell_angle_beta 90.00
_cell_angle_gamma 120.00
_symmetry_space_group_name_H-M 'R -3 m'
_symmetry_Int_Tables_number 166
_symmetry_space_group_name_Hall '-R 3 2"'
loop_
_atom_site_label
_atom_site_type_symbol
_atom_site_fract_x
_atom_site_fract_y
_atom_site_fract_z
Pu1 Pu 0.0000 0.0000 0.0000
Sc1 Sc 0.0000 0.0000 0.1410
Ni1 Ni 0.0000 0.0000 0.3333
Ni2 Ni 0.0000 0.0000 0.5000
Ni3 Ni 0.0028 0.5014 0.9152
```

Summary:
Energy relative to the elements   -0.253 eV/atom

=====

Raw total energy
In order: -4.89, -3.82, -5.92, -5.72, -5.98, -7.56, -7.16, -8.00, -7.82, -7.84, -9.84, -9.57, -7.50, -6.66
Unit: eV/atom